# Sm2CdBr | Alexandria | GGA-PBE | relaxed
# Density: 7.6 Mg/m³
# Polymorph energy (0 for the lowest one): 62.8 meV per atom
# Electronic total energy: -14.45 eV/cell
data_Sm2CdBr
_cell_length_a 3.5319
_cell_length_b 3.5319
_cell_length_c 8.6366
_cell_angle_alpha 90.00
_cell_angle_beta 90.00
_cell_angle_gamma 90.00
_symmetry_space_group_name_H-M 'P 4/m m m'
_symmetry_Int_Tables_number 123
_symmetry_space_group_name_Hall '-P 4 2'
loop_
_atom_site_label
_atom_site_type_symbol
_atom_site_fract_x
_atom_site_fract_y
_atom_site_fract_z
_atom_site_occupancy
Sm1 Sm 0.0000 0.0000 0.2445 1
Cd1 Cd 0.5000 0.5000 0.0000 1
Br1 Br 0.5000 0.5000 0.5000 1

---

# SmCdBr6 | Alexandria | GGA-PBE | relaxed
# Density: 4.6 Mg/m³
# Electronic total energy: -24.37 eV/cell
data_SmCdBr6
_cell_length_a 7.0366
_cell_length_b 7.0387
_cell_length_c 7.4260
_cell_angle_alpha 89.86
_cell_angle_beta 62.06
_cell_angle_gamma 60.05
_symmetry_space_group_name_H-M 'P -1'
_symmetry_Int_Tables_number 2
_symmetry_space_group_name_Hall '-P 1'
loop_
_atom_site_label
_atom_site_type_symbol
_atom_site_fract_x
_atom_site_fract_y
_atom_site_fract_z
_atom_site_occupancy
Sm1 Sm 0.0000 0.0000 0.0000 1
Cd1 Cd 0.0000 0.5000 0.5000 1
Br1 Br 0.1720 0.5714 0.7506 1
Br2 Br 0.1760 0.7463 0.2543 1
Br3 Br 0.4938 0.0795 0.2528 1

---

# Sm2CdBr | Alexandria | GGA-PBE | relaxed
# Density: 7.2 Mg/m³
# Polymorph energy (0 for the lowest one): 0.0 meV per atom
# Electronic total energy: -44.09 eV/cell
data_Sm2CdBr
_cell_length_a 3.7166
_cell_length_b 3.7166
_cell_length_c 28.4253
_cell_angle_alpha 90.00
_cell_angle_beta 90.00
_cell_angle_gamma 120.00
_symmetry_space_group_name_H-M 'R 3 m'
_symmetry_Int_Tables_number 160
_symmetry_space_group_name_Hall 'R 3 -2"'
loop_
_atom_site_label
_atom_site_type_symbol
_atom_site_fract_x
_atom_site_fract_y
_atom_site_fract_z
_atom_site_occupancy
Sm1 Sm 0.0000 0.0000 0.0000 1
Sm2 Sm 0.0000 0.0000 0.1624 1
Cd1 Cd 0.0000 0.0000 0.5814 1
Br1 Br 0.0000 0.0000 0.4144 1

---

# SmTlCdBr6 | Alexandria | GGA-PBE | relaxed
# Density: 4.6 Mg/m³
# Electronic total energy: -59.69 eV/cell
data_SmTlCdBr6
_cell_length_a 7.3662
_cell_length_b 7.3662
_cell_length_c 14.5723
_cell_angle_alpha 90.00
_cell_angle_beta 90.00
_cell_angle_gamma 120.00
_symmetry_space_group_name_H-M 'P -3 1 c'
_symmetry_Int_Tables_number 163
_symmetry_space_group_name_Hall '-P 3 2c'
loop_
_atom_site_label
_atom_site_type_symbol
_atom_site_fract_x
_atom_site_fract_y
_atom_site_fract_z
_atom_site_occupancy
Sm1 Sm 0.3333 0.6667 0.2500 1
Tl1 Tl 0.0000 0.0000 0.0000 1
Cd1 Cd 0.3333 0.6667 0.7500 1
Br1 Br 0.0058 0.3727 0.6374 1

---

# CdSnBr6 | Alexandria | GGA-PBE | relaxed
# Density: 4.2 Mg/m³
# Polymorph energy (0 for the lowest one): 0.0 meV per atom
# Electronic total energy: -40.20 eV/cell
data_CdSnBr6
_cell_length_a 6.9150
_cell_length_b 12.7514
_cell_length_c 6.8919
_cell_angle_alpha 90.00
_cell_angle_beta 110.90
_cell_angle_gamma 90.00
_symmetry_space_group_name_H-M 'C 1 2/m 1'
_symmetry_Int_Tables_number 12
_symmetry_space_group_name_Hall '-C 2y'
loop_
_atom_site_label
_atom_site_type_symbol
_atom_site_fract_x
_atom_site_fract_y
_atom_site_fract_z
_atom_site_occupancy
Cd1 Cd 0.0000 0.0000 0.0000 1
Sn1 Sn 0.0000 0.5000 0.5000 1
Br1 Br 0.2290 0.5000 0.2711 1
Br2 Br 0.2455 0.3523 0.7470 1

---

# CdSnBr2 | Alexandria | GGA-PBE | relaxed
# Density: 4.1 Mg/m³
# Polymorph energy (0 for the lowest one): 17.1 meV per atom
# Electronic total energy: -39.32 eV/cell
data_CdSnBr2
_cell_length_a 10.5175
_cell_length_b 10.5175
_cell_length_c 5.6902
_cell_angle_alpha 90.00
_cell_angle_beta 90.00
_cell_angle_gamma 90.00
_symmetry_space_group_name_H-M 'I -4 2 d'
_symmetry_Int_Tables_number 122
_symmetry_space_group_name_Hall 'I -4 2bw'
loop_
_atom_site_label
_atom_site_type_symbol
_atom_site_fract_x
_atom_site_fract_y
_atom_site_fract_z
_atom_site_occupancy
Cd1 Cd 0.0000 0.0000 0.0000 1
Sn1 Sn 0.0000 0.0000 0.5000 1
Br1 Br 0.1069 0.2500 0.6250 1

---

# Cd3Sn5Br16 | Alexandria | GGA-PBE | relaxed
# Density: 4.3 Mg/m³
# Electronic total energy: -136.76 eV/cell
data_Cd3Sn5Br16
_cell_length_a 14.8994
_cell_length_b 8.4572
_cell_length_c 13.6860
_cell_angle_alpha 90.00
_cell_angle_beta 91.06
_cell_angle_gamma 90.00
_symmetry_space_group_name_H-M 'C 1 m 1'
_symmetry_Int_Tables_number 8
_symmetry_space_group_name_Hall 'C -2y'
loop_
_atom_site_label
_atom_site_type_symbol
_atom_site_fract_x
_atom_site_fract_y
_atom_site_fract_z
_atom_site_occupancy
Cd1 Cd 0.0000 0.0000 0.0000 1
Cd2 Cd 0.4182 0.2487 0.4953 1
Sn1 Sn 0.1616 0.0000 0.2601 1
Sn2 Sn 0.1701 0.5000 0.4968 1
Sn3 Sn 0.2494 0.2521 0.9971 1
Sn4 Sn 0.4962 0.0000 0.7533 1
Br1 Br 0.0678 0.2568 0.6249 1
Br2 Br 0.0802 0.2313 0.1249 1
Br3 Br 0.1523 0.0000 0.8795 1
Br4 Br 0.1728 0.5000 0.8640 1
Br5 Br 0.2597 0.2587 0.3796 1
Br6 Br 0.3213 0.0000 0.1333 1
Br7 Br 0.3429 0.0000 0.6117 1
Br8 Br 0.3425 0.5000 0.6086 1
Br9 Br 0.3441 0.5000 0.1174 1
Br10 Br 0.4164 0.2622 0.8864 1
Br11 Br 0.4893 0.0000 0.3824 1
Br12 Br 0.4919 0.5000 0.3875 1

---

# Cd5SnBr12 | Alexandria | GGA-PBE | relaxed
# Density: 4.5 Mg/m³
# Electronic total energy: -87.45 eV/cell
data_Cd5SnBr12
_cell_length_a 7.1201
_cell_length_b 12.3580
_cell_length_c 13.8597
_cell_angle_alpha 90.00
_cell_angle_beta 90.19
_cell_angle_gamma 90.00
_symmetry_space_group_name_H-M 'C 1 2/m 1'
_symmetry_Int_Tables_number 12
_symmetry_space_group_name_Hall '-C 2y'
loop_
_atom_site_label
_atom_site_type_symbol
_atom_site_fract_x
_atom_site_fract_y
_atom_site_fract_z
_atom_site_occupancy
Cd1 Cd 0.0000 0.0000 0.0000 1
Cd2 Cd 0.0000 0.1666 0.5000 1
Cd3 Cd 0.0000 0.3334 0.0000 1
Sn1 Sn 0.0000 0.5000 0.5000 1
Br1 Br 0.1465 0.0000 0.6175 1
Br2 Br 0.1660 0.1666 0.8885 1
Br3 Br 0.1658 0.5000 0.8883 1
Br4 Br 0.1775 0.3231 0.6174 1

---

# Cd2SnBr2 | Alexandria | GGA-PBE | relaxed
# Density: 5.7 Mg/m³
# Polymorph energy (0 for the lowest one): 109.1 meV per atom
# Electronic total energy: -18.90 eV/cell
data_Cd2SnBr2
_cell_length_a 4.8618
_cell_length_b 4.8618
_cell_length_c 12.3148
_cell_angle_alpha 90.00
_cell_angle_beta 90.00
_cell_angle_gamma 90.00
_symmetry_space_group_name_H-M 'I 4/m m m'
_symmetry_Int_Tables_number 139
_symmetry_space_group_name_Hall '-I 4 2'
loop_
_atom_site_label
_atom_site_type_symbol
_atom_site_fract_x
_atom_site_fract_y
_atom_site_fract_z
_atom_site_occupancy
Cd1 Cd 0.0000 0.0000 0.1103 1
Sn1 Sn 0.0000 0.0000 0.5000 1
Br1 Br 0.0000 0.5000 0.2500 1

---

# CdSnBr6 | Alexandria | GGA-PBE | relaxed
# Density: 4.7 Mg/m³
# Polymorph energy (0 for the lowest one): 22.2 meV per atom
# Electronic total energy: -59.76 eV/cell
data_CdSnBr6
_cell_length_a 6.8654
_cell_length_b 6.8654
_cell_length_c 18.4819
_cell_angle_alpha 90.00
_cell_angle_beta 90.00
_cell_angle_gamma 120.00
_symmetry_space_group_name_H-M 'R -3'
_symmetry_Int_Tables_number 148
_symmetry_space_group_name_Hall '-R 3'
loop_
_atom_site_label
_atom_site_type_symbol
_atom_site_fract_x
_atom_site_fract_y
_atom_site_fract_z
_atom_site_occupancy
Cd1 Cd 0.0000 0.0000 0.0000 1
Sn1 Sn 0.0000 0.0000 0.5000 1
Br1 Br 0.0056 0.6818 0.4183 1

---

# Cd2SnBr2 | Alexandria | GGA-PBE | relaxed
# Density: 5.8 Mg/m³
# Polymorph energy (0 for the lowest one): 0.0 meV per atom
# Electronic total energy: -19.99 eV/cell
data_Cd2SnBr2
_cell_length_a 7.6565
_cell_length_b 7.6565
_cell_length_c 4.9059
_cell_angle_alpha 90.00
_cell_angle_beta 90.00
_cell_angle_gamma 90.00
_symmetry_space_group_name_H-M 'P 4/m b m'
_symmetry_Int_Tables_number 127
_symmetry_space_group_name_Hall '-P 4 2ab'
loop_
_atom_site_label
_atom_site_type_symbol
_atom_site_fract_x
_atom_site_fract_y
_atom_site_fract_z
_atom_site_occupancy
Cd1 Cd 0.1369 0.3631 0.0000 1
Sn1 Sn 0.0000 0.0000 0.0000 1
Br1 Br 0.1866 0.6866 0.5000 1

---

Sequential energy relative to the elements, uncorrected output: -0.605, -1.088, -0.668, -1.312, -0.643, -0.392, -0.786, -0.837, -0.054, -0.621, -0.163 eV/atom